1.
! PuCl3 (GGA-PBEsol, optimized geometry); values from VASP
&SYSTEM
  ibrav = 0, nat = 8, ntyp = 2
/
ATOMIC_SPECIES
Cl 35.45 Cl.upf
Pu 244.00 Pu.upf
CELL_PARAMETERS angstrom
7.2787 0.0000 0.0000
-3.6393 6.3035 0.0000
0.0000 0.0000 4.1108
ATOMIC_POSITIONS crystal
Cl 0.6133 0.6981 0.7500
Cl 0.9152 0.6133 0.2500
Cl 0.3867 0.3019 0.2500
Cl 0.0848 0.3867 0.7500
Cl 0.3019 0.9152 0.7500
Cl 0.6981 0.0848 0.2500
Pu 0.6667 0.3333 0.7500
Pu 0.3333 0.6667 0.2500
! symmetry = No. 176
! formation energy (no corrections) = -1764 meV/atom
! E_tot = -7.059 eV per atom
! DOS at the Fermi energy = 12.30 states/eV/f.u.

2.
! RbReCl4 (GGA-PBEsol, optimized geometry); values from VASP
&SYSTEM
  ibrav = 0, nat = 36, ntyp = 3
/
ATOMIC_SPECIES
Rb 85.47 Rb.upf
Re 186.21 Re.upf
Cl 35.45 Cl.upf
CELL_PARAMETERS angstrom
-2.4351 -4.7982 -7.3027
8.0365 -3.0064 2.9425
-5.6268 -8.0366 7.1567
ATOMIC_POSITIONS crystal
Rb 0.2470 0.2470 0.0000
Rb 0.2517 0.7483 0.7500
Rb 0.2470 0.2470 0.5000
Rb 0.7530 0.7530 0.5000
Rb 0.7530 0.7530 0.0000
Rb 0.7483 0.2517 0.2500
Re 0.7877 0.2123 0.6489
Re 0.7877 0.2123 0.8511
Re 0.2123 0.7877 0.3511
Re 0.6439 0.3561 0.7500
Re 0.2123 0.7877 0.1489
Re 0.3561 0.6439 0.2500
Cl 0.8738 0.1262 0.4655
Cl 0.4706 0.5294 0.7500
Cl 0.0166 0.4125 0.8781
Cl 0.3548 0.6452 0.4486
Cl 0.4125 0.0166 0.3781
Cl 0.9834 0.5875 0.1219
Cl 0.3548 0.6452 0.0514
Cl 0.4125 0.0166 0.1219
Cl 0.5875 0.9834 0.6219
Cl 0.1262 0.8738 0.5345
Cl 0.4000 0.1683 0.7500
Cl 0.5294 0.4706 0.2500
Cl 0.9834 0.5875 0.3781
Cl 0.8738 0.1262 0.0345
Cl 0.0725 0.9275 0.2500
Cl 0.5875 0.9834 0.8781
Cl 0.8317 0.6000 0.7500
Cl 0.1262 0.8738 0.9655
Cl 0.0166 0.4125 0.6219
Cl 0.1683 0.4000 0.2500
Cl 0.9275 0.0725 0.7500
Cl 0.6000 0.8317 0.2500
Cl 0.6452 0.3548 0.5514
Cl 0.6452 0.3548 0.9486
! symmetry = No. 63
! formation energy (no corrections) = -1118 meV/atom
! E_tot = -4.850 eV per atom

3.
! RbZr2ReCl (GGA-PBEsol, optimized geometry); values from VASP
&SYSTEM
  ibrav = 0, nat = 5, ntyp = 4
/
ATOMIC_SPECIES
Re 186.21 Re.upf
Rb 85.47 Rb.upf
Zr 91.22 Zr.upf
Cl 35.45 Cl.upf
CELL_PARAMETERS angstrom
4.4884 0.0000 0.0000
0.0000 4.9206 0.0000
0.0000 0.0000 4.9206
ATOMIC_POSITIONS crystal
Re 0.5000 0.0000 0.0000
Rb 0.5000 0.5000 0.5000
Zr 0.0000 0.0000 0.5000
Zr 0.0000 0.5000 0.0000
Cl 0.0000 0.0000 0.0000
! symmetry = No. 123
! formation energy (no corrections) = 1001 meV/atom
! E_tot = -5.908 eV per atom
! DOS at the Fermi energy = 4.82 states/eV/f.u.

4.
! Rb3RuCl (GGA-PBEsol, optimized geometry); values from VASP
&SYSTEM
  ibrav = 0, nat = 5, ntyp = 3
/
ATOMIC_SPECIES
Ru 101.07 Ru.upf
Rb 85.47 Rb.upf
Cl 35.45 Cl.upf
CELL_PARAMETERS angstrom
-4.7456 -0.8209 -3.7415
1.3457 -5.9345 -0.4048
-3.5864 -1.1406 4.7990
ATOMIC_POSITIONS crystal
Ru 0.5000 0.5000 0.5000
Rb 0.0000 0.5000 0.0000
Rb 0.0000 0.0000 0.5000
Rb 0.5000 0.0000 0.0000
Cl 0.0000 0.0000 0.0000
! symmetry = No. 221
! formation energy (no corrections) = 335 meV/atom
! E_tot = -2.716 eV per atom
! DOS at the Fermi energy = 8.61 states/eV/f.u.

- Look up the E_tot of the second one.
  -4.850 eV per atom